Record 1
DFT (GGA-PBE) results for a geometry-optimized Ba6NiAs2I3 structure.

Cell lengths 8.243, 8.243, 8.927 Å; angles 99.20, 99.20, 119.44 degrees
Element x y z (fractional)
Ba 0.065 0.390 0.200
Ba 0.264 0.264 0.789
Ba 0.390 0.065 0.200
Ba 0.610 0.935 0.800
Ba 0.736 0.736 0.211
Ba 0.935 0.610 0.800
Ni 0.000 0.000 0.000
As 0.334 0.666 0.000
As 0.666 0.334 0.000
I 0.172 0.828 0.500
I 0.500 0.500 0.500
I 0.828 0.172 0.500

Output
DFT total energy ... -3.764 eV/atom
Space-group type ... C2/m (12)

---

Record 2
DFT (GGA-PBE) results for a geometry-optimized BaAsIO2 structure.

Cell lengths 4.522, 4.522, 5.388 Å; angles 90.00, 90.00, 90.00 degrees
Element x y z (fractional)
Ba 0.000 0.000 0.000
As 0.500 0.500 0.500
I 0.500 0.500 0.000
O 0.000 0.500 0.500
O 0.500 0.000 0.500

Output
DFT total energy ... -4.417 eV/atom
Space-group type ... P4/mmm (123)

---

How do the records compare in ρ? In the order shown, they have 4.7, 5.6 Mg/m³.
How do the records compare in energy relative to the elements, uncorrected? In the order shown, they have -1.1581, -0.8093 eV/atom.
How do the records compare in Fermi-level density of states? In the order shown, they have 4.7, 0.1 states/eV per cell.